TlZn after structural relaxation, computed with PBEsol.

```
data_TlZn
_symmetry_space_group_name_H-M 'P 4/n m m'
_symmetry_Int_Tables_number 129
_cell_length_a 3.181
_cell_length_b 3.181
_cell_length_c 8.629
_cell_angle_alpha 90.00
_cell_angle_beta 90.00
_cell_angle_gamma 90.00
loop_
_symmetry_equiv_pos_as_xyz
'x,y,z'
'-x,-y,-z'
'-y+1/2,x,z'
'y+1/2,-x,-z'
'-x+1/2,-y+1/2,z'
'x+1/2,y+1/2,-z'
'y,-x+1/2,z'
'-y,x+1/2,-z'
'x+1/2,-y,-z'
'-x+1/2,y,z'
'-y,-x,-z'
'y,x,z'
'-x,y+1/2,-z'
'x,-y+1/2,z'
'y+1/2,x+1/2,-z'
'-y+1/2,-x+1/2,z'
loop_
_atom_site_label
_atom_site_type_symbol
_atom_site_fract_x
_atom_site_fract_y
_atom_site_fract_z
_atom_site_occupancy
Tl1 Tl 0.250 0.250 0.166 1
Zn1 Zn 0.250 0.250 0.578 1
```

Results
The value obtained for the density is 10.3 g cm⁻³. The calculation puts the magnetization at 0.00 μB/f.u. The value obtained for the volume is 21.8 A^3/atom. The value obtained for the formation energy from the elements is 0.128 eV per atom.